[1]
Computed, not measured: crystalline Ba2Na6LiMg at its relaxed geometry at the PBE-GGA level of DFT.

Output
* SG: C2/m

The structure in POSCAR format:
```
Ba2Na6LiMg
1.0
-1.289 1.141 8.224
3.726 -7.356 1.614
6.497 -0.376 5.412
Na Li Mg Ba
6 1 1 2
Cartesian
1.811 -4.618 7.310
-0.001 -1.043 6.525
5.149 -4.811 10.090
3.785 -1.780 5.160
2.437 -5.173 3.312
7.122 -1.973 7.940
1.218 -3.108 4.919
0.000 0.000 0.000
3.214 -1.172 9.277
5.720 -5.419 5.973
```

[2]
Computed, not measured: crystalline BaNa2LiMg at its relaxed geometry at the PBE-GGA level of DFT.

Output
* SG: P4/mmm

The structure in POSCAR format:
```
BaNa2LiMg
1.0
5.693 0.000 0.000
0.000 5.693 0.000
0.000 0.000 5.636
Ba Li Na Mg
1 1 2 1
Cartesian
2.846 2.846 2.818
0.000 0.000 0.000
0.000 2.846 0.000
2.846 0.000 0.000
0.000 0.000 2.818
```

[3]
Computed, not measured: crystalline Ba2Na12Li3Mg at its relaxed geometry at the PBE-GGA level of DFT.

Output
* SG: R-3m

The structure in POSCAR format:
```
Ba2Na12Li3Mg
1.0
8.496 -1.964 -1.393
2.488 8.357 -1.393
2.488 1.448 8.348
Na Li Mg Ba
12 3 1 2
Cartesian
9.318 2.603 1.846
3.926 6.017 0.314
6.865 3.996 5.823
4.153 5.238 3.716
6.300 7.399 5.248
3.926 2.285 5.575
6.865 6.817 1.846
9.546 5.556 -0.013
9.546 1.824 5.248
7.171 0.442 0.314
6.606 3.845 -0.262
6.606 1.024 3.716
1.244 4.179 -0.696
1.244 0.724 4.174
4.248 -0.982 -0.696
0.000 0.000 0.000
10.333 6.015 4.266
3.138 1.827 1.296
```

[4]
Computed, not measured: crystalline Ba2LiMgNi at its relaxed geometry at the PBE-GGA level of DFT.

Output
* SG: P4/mmm
* E above lowest polymorph: 0.077 eV per atom

The structure in POSCAR format:
```
Ba2LiMgNi
1.0
6.032 0.000 0.000
0.000 6.032 0.000
0.000 0.000 4.946
Ni Ba Mg Li
1 2 1 1
Cartesian
0.000 0.000 0.000
0.000 3.016 0.000
3.016 0.000 0.000
3.016 3.016 2.473
0.000 0.000 2.473
```

[5]
Computed, not measured: crystalline BaLiMg2Ni at its relaxed geometry at the PBE-GGA level of DFT.

Output
* SG: P4/mmm
* E above lowest polymorph: 1.627 eV per atom

The structure in POSCAR format:
```
BaLiMg2Ni
1.0
6.094 0.000 0.000
0.000 5.490 0.000
0.000 0.000 6.094
Li Mg Ni Ba
1 2 1 1
Cartesian
0.000 2.745 0.000
0.000 0.000 3.047
3.047 0.000 0.000
3.047 2.745 3.047
0.000 0.000 0.000
```

[6]
Computed, not measured: crystalline BaLiMg2Ni at its relaxed geometry at the PBE-GGA level of DFT.

Output
* SG: P4/mmm
* E above lowest polymorph: 0.000 eV per atom

The structure in POSCAR format:
```
BaLiMg2Ni
1.0
-2.318 3.009 -3.267
0.962 -3.257 -3.683
-4.530 -2.435 0.970
Mg Ba Li Ni
2 1 1 1
Cartesian
0.481 -1.629 -1.842
-1.159 1.505 -1.633
-2.943 -1.341 -2.990
-2.265 -1.218 0.485
0.000 0.000 0.000
```

Number 1: calculated volume 42.106 Å³ per atom, uncorrected energy -1.383 eV/atom, formation energy from the elements 0.14 eV per atom. Number 2: calculated volume 36.531 Å³ per atom, uncorrected energy -1.513 eV/atom, formation energy from the elements 0.10 eV per atom. Number 3: calculated volume 37.855 Å³ per atom, uncorrected energy -1.403 eV/atom, formation energy from the elements 0.10 eV per atom. Number 4: calculated volume 35.992 Å³ per atom, uncorrected energy -2.518 eV/atom, formation energy from the elements 0.11 eV per atom. Number 5: calculated volume 40.767 Å³ per atom, uncorrected energy -0.927 eV/atom, formation energy from the elements 1.63 eV per atom. Number 6: calculated volume 26.274 Å³ per atom, uncorrected energy -2.554 eV/atom, formation energy from the elements 0.01 eV per atom.